La2PrYHo5 | PBE-GGA | relaxed

Calculated values
crystal system	tetragonal
energy of formation	0.251	eV/atom

```
data_La2PrYHo5
_cell_length_a 8.7206
_cell_length_b 8.7206
_cell_length_c 15.7498
_cell_angle_alpha 90.00
_cell_angle_beta 90.00
_cell_angle_gamma 90.00
_space_group_name_H-M_alt 'I 4/m c m'
_space_group_IT_number 140
_space_group_name_Hall '-I 4 2c'
loop_
_atom_site_label
_atom_site_type_symbol
_atom_site_fract_x
_atom_site_fract_y
_atom_site_fract_z
_atom_site_occupancy
La1 La 0.1171 0.3829 0.0000 1
Pr1 Pr 0.0000 0.0000 0.2500 1
Y1 Y 0.0000 0.5000 0.2500 1
Ho1 Ho 0.0000 0.0000 0.0000 1
Ho2 Ho 0.2155 0.2845 0.3598 1
```